Entry from the Alexandria database: a relaxed Mo4F crystal (PBE with a Hubbard U).

Calculated values
- Fermi-level density of states (states/eV per atom) = 0.608
- total DFT energy (no corrections) (eV/atom) = -4.47
- total magnetization (μB/cell) = 17.85
- crystal system = cubic

Cell lengths 4.943, 4.943, 4.943 Å; angles 90.00, 90.00, 90.00 degrees
Fractional positions:
Mo1 0.000 0.000 0.000
Mo2 0.000 0.500 0.500
Mo3 0.500 0.000 0.500
Mo4 0.500 0.500 0.000
F1 0.500 0.500 0.500